1.
## TbIrCl6 (PBE-GGA)

Data for a relaxed structure of TbIrCl6.

a = 6.358 Å, b = 10.984 Å, c = 6.435 Å
α = 90.00°, β = 109.31°, γ = 90.00°
Fractional coordinates of all 16 atoms:
Tb1 0.000 0.000 0.000
Tb2 0.500 0.500 0.000
Ir1 0.000 0.333 0.000
Ir2 0.500 0.833 0.000
Cl1 0.223 0.330 0.768
Cl2 0.225 0.484 0.236
Cl3 0.231 0.184 0.237
Cl4 0.269 0.684 0.763
Cl5 0.275 0.984 0.764
Cl6 0.277 0.830 0.232
Cl7 0.723 0.830 0.768
Cl8 0.725 0.984 0.236
Cl9 0.731 0.684 0.237
Cl10 0.769 0.184 0.763
Cl11 0.775 0.484 0.764
Cl12 0.777 0.330 0.232

Computed properties:
Total DFT energy (no corrections)   -70.717 eV/cell
Volume   212.0 Å³/f.u.

***

2.
## TeIrCl (PBE-GGA)

Data for a relaxed structure of TeIrCl.

a = 7.095 Å, b = 6.752 Å, c = 7.550 Å
α = 90.00°, β = 114.78°, γ = 90.00°
Fractional coordinates of all 12 atoms:
Te1 0.149 0.190 0.250
Te2 0.149 0.310 0.750
Te3 0.851 0.690 0.250
Te4 0.851 0.810 0.750
Ir1 0.094 0.665 0.610
Ir2 0.094 0.835 0.110
Ir3 0.906 0.165 0.890
Ir4 0.906 0.335 0.390
Cl1 0.362 0.616 0.264
Cl2 0.362 0.884 0.764
Cl3 0.638 0.116 0.236
Cl4 0.638 0.384 0.736

Computed properties:
Total DFT energy (no corrections)   -56.819 eV/cell
Volume   82.1 Å³/f.u.

***

3.
## Te7IrCl7 (PBE-GGA)

Data for a relaxed structure of Te7IrCl7.

a = 9.378 Å, b = 10.273 Å, c = 11.569 Å
α = 69.12°, β = 66.86°, γ = 66.96°
Fractional coordinates of all 30 atoms:
Te1 0.046 0.158 0.015
Te2 0.056 0.157 0.341
Te3 0.069 0.655 0.198
Te4 0.194 0.446 0.032
Te5 0.209 0.449 0.699
Te6 0.342 0.737 0.727
Te7 0.350 0.211 0.879
Te8 0.650 0.789 0.121
Te9 0.658 0.263 0.273
Te10 0.791 0.551 0.301
Te11 0.806 0.554 0.968
Te12 0.931 0.345 0.802
Te13 0.944 0.843 0.659
Te14 0.954 0.842 0.985
Ir1 0.073 0.650 0.841
Ir2 0.927 0.350 0.159
Cl1 0.019 0.656 0.527
Cl2 0.197 0.008 0.689
Cl3 0.212 0.960 0.208
Cl4 0.322 0.177 0.285
Cl5 0.329 0.761 0.961
Cl6 0.352 0.759 0.503
Cl7 0.466 0.534 0.268
Cl8 0.534 0.466 0.732
Cl9 0.648 0.241 0.497
Cl10 0.671 0.239 0.039
Cl11 0.678 0.823 0.715
Cl12 0.788 0.040 0.792
Cl13 0.803 0.992 0.311
Cl14 0.981 0.344 0.473

Computed properties:
Total DFT energy (no corrections)   -100.755 eV/cell
Volume   457.8 Å³/f.u.

***

4.
## Tl3IrCl (PBE-GGA)

Data for a relaxed structure of Tl3IrCl.

a = 7.528 Å, b = 7.528 Å, c = 5.332 Å
α = 90.00°, β = 90.00°, γ = 90.02°
Fractional coordinates of all 10 atoms:
Tl1 0.000 0.000 0.000
Tl2 0.000 0.500 0.000
Tl3 0.237 0.763 0.500
Tl4 0.500 0.000 0.000
Tl5 0.500 0.500 0.000
Tl6 0.763 0.237 0.500
Ir1 0.252 0.748 0.000
Ir2 0.748 0.252 0.000
Cl1 0.207 0.207 0.500
Cl2 0.793 0.793 0.500

Computed properties:
Total DFT energy (no corrections)   -38.428 eV/cell
Volume   151.1 Å³/f.u.

***

5.
## IrW3Cl (PBE-GGA)

Data for a relaxed structure of IrW3Cl.

a = 4.348 Å, b = 4.348 Å, c = 4.348 Å
α = 90.00°, β = 90.00°, γ = 90.00°
Fractional coordinates of all 5 atoms:
Ir1 0.000 0.000 0.000
W1 0.000 0.500 0.500
W2 0.500 0.000 0.500
W3 0.500 0.500 0.000
Cl1 0.500 0.500 0.500

Computed properties:
Total DFT energy (no corrections)   -42.071 eV/cell
Volume   82.2 Å³/f.u.

***

6.
## YIrCl6 (PBE-GGA)

Data for a relaxed structure of YIrCl6.

a = 6.357 Å, b = 10.982 Å, c = 6.451 Å
α = 90.00°, β = 109.25°, γ = 90.00°
Fractional coordinates of all 16 atoms:
Y1 0.000 0.000 0.000
Y2 0.500 0.500 0.000
Ir1 0.000 0.333 0.000
Ir2 0.500 0.833 0.000
Cl1 0.223 0.332 0.767
Cl2 0.227 0.483 0.234
Cl3 0.229 0.184 0.235
Cl4 0.271 0.684 0.765
Cl5 0.273 0.983 0.766
Cl6 0.277 0.832 0.233
Cl7 0.723 0.832 0.767
Cl8 0.727 0.983 0.234
Cl9 0.729 0.684 0.235
Cl10 0.771 0.184 0.765
Cl11 0.773 0.483 0.766
Cl12 0.777 0.332 0.233

Computed properties:
Total DFT energy (no corrections)   -74.377 eV/cell
Volume   212.6 Å³/f.u.

***

7.
## K2LiLuCl6 (PBE-GGA)

Data for a relaxed structure of K2LiLuCl6.

a = 7.198 Å, b = 7.198 Å, c = 7.198 Å
α = 120.10°, β = 120.10°, γ = 89.82°
Fractional coordinates of all 10 atoms:
K1 0.250 0.750 0.500
K2 0.750 0.250 0.500
Li1 0.000 0.000 0.000
Lu1 0.500 0.500 0.000
Cl1 0.248 0.248 0.496
Cl2 0.248 0.752 0.000
Cl3 0.249 0.249 0.000
Cl4 0.751 0.751 0.000
Cl5 0.752 0.248 0.000
Cl6 0.752 0.752 0.504

Computed properties:
Total DFT energy (no corrections)   -40.436 eV/cell
Volume   263.2 Å³/f.u.

***

8.
## K2LiMoCl6 (PBE-GGA)

Data for a relaxed structure of K2LiMoCl6.

a = 7.013 Å, b = 7.013 Å, c = 7.013 Å
α = 60.00°, β = 60.00°, γ = 60.00°
Fractional coordinates of all 10 atoms:
K1 0.250 0.250 0.250
K2 0.750 0.750 0.750
Li1 0.000 0.000 0.000
Mo1 0.500 0.500 0.500
Cl1 0.254 0.254 0.746
Cl2 0.254 0.746 0.254
Cl3 0.254 0.746 0.746
Cl4 0.746 0.254 0.254
Cl5 0.746 0.254 0.746
Cl6 0.746 0.746 0.254

Computed properties:
Total DFT energy (no corrections)   -40.842 eV/cell
Volume   243.9 Å³/f.u.

***

9.
## K2LiNiCl6 (PBE-GGA)

Data for a relaxed structure of K2LiNiCl6.

a = 6.812 Å, b = 6.812 Å, c = 6.812 Å
α = 60.00°, β = 60.00°, γ = 60.00°
Fractional coordinates of all 10 atoms:
K1 0.250 0.250 0.250
K2 0.750 0.750 0.750
Li1 0.000 0.000 0.000
Ni1 0.500 0.500 0.500
Cl1 0.261 0.261 0.739
Cl2 0.261 0.739 0.261
Cl3 0.261 0.739 0.739
Cl4 0.739 0.261 0.261
Cl5 0.739 0.261 0.739
Cl6 0.739 0.739 0.261

Computed properties:
Total DFT energy (no corrections)   -33.761 eV/cell
Volume   223.6 Å³/f.u.

***

10.
## K2LiOsCl6 (PBE-GGA)

Data for a relaxed structure of K2LiOsCl6.

a = 6.911 Å, b = 6.911 Å, c = 6.911 Å
α = 60.00°, β = 60.00°, γ = 60.00°
Fractional coordinates of all 10 atoms:
K1 0.250 0.250 0.250
K2 0.750 0.750 0.750
Li1 0.000 0.000 0.000
Os1 0.500 0.500 0.500
Cl1 0.258 0.258 0.742
Cl2 0.258 0.742 0.258
Cl3 0.258 0.742 0.742
Cl4 0.742 0.258 0.258
Cl5 0.742 0.258 0.742
Cl6 0.742 0.742 0.258

Computed properties:
Total DFT energy (no corrections)   -38.652 eV/cell
Volume   233.4 Å³/f.u.

***

11.
## K2LiPtCl6 (PBE-GGA)

Data for a relaxed structure of K2LiPtCl6.

a = 6.969 Å, b = 6.969 Å, c = 6.969 Å
α = 60.00°, β = 60.00°, γ = 60.00°
Fractional coordinates of all 10 atoms:
K1 0.250 0.250 0.250
K2 0.750 0.750 0.750
Li1 0.000 0.000 0.000
Pt1 0.500 0.500 0.500
Cl1 0.255 0.255 0.745
Cl2 0.255 0.745 0.255
Cl3 0.255 0.745 0.745
Cl4 0.745 0.255 0.255
Cl5 0.745 0.255 0.745
Cl6 0.745 0.745 0.255

Computed properties:
Total DFT energy (no corrections)   -33.759 eV/cell
Volume   239.3 Å³/f.u.

***

12.
## K2LiZnCl6 (PBE-GGA)

Data for a relaxed structure of K2LiZnCl6.

a = 6.957 Å, b = 6.957 Å, c = 6.957 Å
α = 120.01°, β = 120.01°, γ = 89.98°
Fractional coordinates of all 10 atoms:
K1 0.250 0.750 0.500
K2 0.750 0.250 0.500
Li1 0.000 0.000 0.000
Zn1 0.500 0.500 0.000
Cl1 0.250 0.745 0.994
Cl2 0.252 0.252 0.000
Cl3 0.255 0.250 0.505
Cl4 0.745 0.750 0.495
Cl5 0.748 0.748 0.000
Cl6 0.750 0.255 0.006

Computed properties:
Total DFT energy (no corrections)   -30.271 eV/cell
Volume   238.0 Å³/f.u.

***

13.
## K2MoCl6 (PBE-GGA)

Data for a relaxed structure of K2MoCl6.

a = 6.875 Å, b = 6.875 Å, c = 10.303 Å
α = 90.00°, β = 90.00°, γ = 90.00°
Fractional coordinates of all 18 atoms:
K1 0.000 0.500 0.250
K2 0.000 0.500 0.750
K3 0.500 0.000 0.250
K4 0.500 0.000 0.750
Mo1 0.000 0.000 0.000
Mo2 0.500 0.500 0.500
Cl1 0.000 0.000 0.234
Cl2 0.000 0.000 0.766
Cl3 0.200 0.284 0.000
Cl4 0.216 0.300 0.500
Cl5 0.284 0.800 0.000
Cl6 0.300 0.784 0.500
Cl7 0.500 0.500 0.266
Cl8 0.500 0.500 0.734
Cl9 0.700 0.216 0.500
Cl10 0.716 0.200 0.000
Cl11 0.784 0.700 0.500
Cl12 0.800 0.716 0.000

Computed properties:
Total DFT energy (no corrections)   -73.232 eV/cell
Volume   243.5 Å³/f.u.

***

14.
## K3MoCl6 (PBE-GGA)

Data for a relaxed structure of K3MoCl6.

a = 12.756 Å, b = 7.567 Å, c = 12.160 Å
α = 90.00°, β = 108.60°, γ = 90.00°
Fractional coordinates of all 40 atoms:
K1 0.099 0.035 0.360
K2 0.099 0.465 0.860
K3 0.317 0.566 0.265
K4 0.317 0.934 0.765
K5 0.319 0.068 0.113
K6 0.319 0.432 0.613
K7 0.681 0.568 0.387
K8 0.681 0.932 0.887
K9 0.683 0.066 0.235
K10 0.683 0.434 0.735
K11 0.901 0.535 0.140
K12 0.901 0.965 0.640
Mo1 0.000 0.000 0.000
Mo2 0.000 0.500 0.500
Mo3 0.500 0.000 0.500
Mo4 0.500 0.500 0.000
Cl1 0.096 0.228 0.596
Cl2 0.096 0.272 0.096
Cl3 0.117 0.502 0.375
Cl4 0.117 0.998 0.875
Cl5 0.131 0.683 0.647
Cl6 0.131 0.817 0.147
Cl7 0.350 0.701 0.005
Cl8 0.350 0.799 0.505
Cl9 0.353 0.208 0.395
Cl10 0.353 0.292 0.895
Cl11 0.500 0.134 0.686
Cl12 0.500 0.366 0.186
Cl13 0.500 0.634 0.814
Cl14 0.500 0.866 0.314
Cl15 0.647 0.708 0.105
Cl16 0.647 0.792 0.605
Cl17 0.650 0.201 0.495
Cl18 0.650 0.299 0.995
Cl19 0.869 0.183 0.853
Cl20 0.869 0.317 0.353
Cl21 0.883 0.002 0.125
Cl22 0.883 0.498 0.625
Cl23 0.904 0.728 0.904
Cl24 0.904 0.772 0.404

Computed properties:
Total DFT energy (no corrections)   -162.595 eV/cell
Volume   278.1 Å³/f.u.

***

15.
## K2TlMoCl6 (PBE-GGA)

Data for a relaxed structure of K2TlMoCl6.

a = 7.667 Å, b = 7.667 Å, c = 7.667 Å
α = 60.00°, β = 60.00°, γ = 60.00°
Fractional coordinates of all 10 atoms:
K1 0.250 0.250 0.250
K2 0.750 0.750 0.750
Tl1 0.000 0.000 0.000
Mo1 0.500 0.500 0.500
Cl1 0.274 0.274 0.726
Cl2 0.274 0.726 0.274
Cl3 0.274 0.726 0.726
Cl4 0.726 0.274 0.274
Cl5 0.726 0.274 0.726
Cl6 0.726 0.726 0.274

Computed properties:
Total DFT energy (no corrections)   -39.357 eV/cell
Volume   318.7 Å³/f.u.

***

16.
## K2NaPdCl6 (PBE-GGA)

Data for a relaxed structure of K2NaPdCl6.

a = 5.157 Å, b = 5.157 Å, c = 11.942 Å
α = 90.00°, β = 90.00°, γ = 90.00°
Fractional coordinates of all 10 atoms:
K1 0.000 0.000 0.249
K2 0.000 0.000 0.751
Na1 0.500 0.500 0.500
Pd1 0.500 0.500 0.000
Cl1 0.000 0.000 0.000
Cl2 0.000 0.000 0.500
Cl3 0.000 0.500 0.136
Cl4 0.000 0.500 0.864
Cl5 0.500 0.000 0.136
Cl6 0.500 0.000 0.864

Computed properties:
Total DFT energy (no corrections)   -25.590 eV/cell
Volume   317.5 Å³/f.u.

***

17.
## K2NaTaCl6 (PBE-GGA)

Data for a relaxed structure of K2NaTaCl6.

a = 7.259 Å, b = 7.259 Å, c = 7.259 Å
α = 60.00°, β = 60.00°, γ = 60.00°
Fractional coordinates of all 10 atoms:
K1 0.250 0.250 0.250
K2 0.750 0.750 0.750
Na1 0.000 0.000 0.000
Ta1 0.500 0.500 0.500
Cl1 0.260 0.260 0.740
Cl2 0.260 0.740 0.260
Cl3 0.260 0.740 0.740
Cl4 0.740 0.260 0.260
Cl5 0.740 0.260 0.740
Cl6 0.740 0.740 0.260

Computed properties:
Total DFT energy (no corrections)   -41.701 eV/cell
Volume   270.5 Å³/f.u.

***

18.
## K2NaTcCl6 (PBE-GGA)

Data for a relaxed structure of K2NaTcCl6.

a = 7.166 Å, b = 7.166 Å, c = 7.166 Å
α = 60.00°, β = 60.00°, γ = 60.00°
Fractional coordinates of all 10 atoms:
K1 0.250 0.250 0.250
K2 0.750 0.750 0.750
Na1 0.000 0.000 0.000
Tc1 0.500 0.500 0.500
Cl1 0.263 0.263 0.737
Cl2 0.263 0.737 0.263
Cl3 0.263 0.737 0.737
Cl4 0.737 0.263 0.263
Cl5 0.737 0.263 0.737
Cl6 0.737 0.737 0.263

Computed properties:
Total DFT energy (no corrections)   -38.603 eV/cell
Volume   260.2 Å³/f.u.

***

19.
## K2NaZrCl6 (PBE-GGA)

Data for a relaxed structure of K2NaZrCl6.

a = 7.239 Å, b = 7.365 Å, c = 12.560 Å
α = 90.00°, β = 124.92°, γ = 90.00°
Fractional coordinates of all 20 atoms:
K1 0.228 0.076 0.246
K2 0.228 0.424 0.746
K3 0.772 0.576 0.254
K4 0.772 0.924 0.754
Na1 0.500 0.000 0.000
Na2 0.500 0.500 0.500
Zr1 0.000 0.000 0.500
Zr2 0.000 0.500 0.000
Cl1 0.141 0.206 0.958
Cl2 0.141 0.294 0.458
Cl3 0.246 0.684 0.952
Cl4 0.246 0.816 0.452
Cl5 0.329 0.006 0.740
Cl6 0.329 0.494 0.240
Cl7 0.671 0.506 0.760
Cl8 0.671 0.994 0.260
Cl9 0.754 0.184 0.548
Cl10 0.754 0.316 0.048
Cl11 0.859 0.706 0.542
Cl12 0.859 0.794 0.042

Computed properties:
Total DFT energy (no corrections)   -82.708 eV/cell
Volume   274.5 Å³/f.u.

***

20.
## KNbCl3 (PBE-GGA)

Data for a relaxed structure of KNbCl3.

a = 5.143 Å, b = 5.143 Å, c = 5.143 Å
α = 90.00°, β = 90.00°, γ = 90.00°
Fractional coordinates of all 5 atoms:
K1 0.000 0.000 0.000
Nb1 0.500 0.500 0.500
Cl1 0.000 0.500 0.500
Cl2 0.500 0.000 0.500
Cl3 0.500 0.500 0.000

Computed properties:
Total DFT energy (no corrections)   -22.361 eV/cell
Volume   136.0 Å³/f.u.
Distance to the lowest polymorph of the same formula   56 meV per atom